! La4Rh | Alexandria via LeMat-Bulk | GGA-PBE | optimized geometry; values from VASP
! Calculated formation energy: -0.213 eV/atom
! Energy above the lowest structure with this stoichiometry: 59 meV per atom
! Symmetry: Pm-3m
&SYSTEM
  ibrav = 0, nat = 5, ntyp = 2
/
ATOMIC_SPECIES
La 138.91 La.upf
Rh 102.91 Rh.upf
CELL_PARAMETERS angstrom
5.686 0.000 0.000
0.000 5.686 0.000
0.000 0.000 5.686
ATOMIC_POSITIONS crystal
La 0.500 0.500 0.000
La 0.000 0.500 0.500
Rh 0.500 0.500 0.500
La 0.000 0.000 0.000
La 0.500 0.000 0.500